The following is a DFT calculation (PBE) of Tl2GaF4 after structural relaxation.

Cell lengths 4.2634, 4.2634, 7.7767 Å; angles 74.09, 74.09, 90.00 degrees
With the nearest neighbours (Å) after each atom.
Fractional coordinates of all 7 atoms:
Tl: 0.3456 0.3456 0.3088  9 F 2.87-3.07
F: 0.1453 0.1453 0.7095  1 Ga 2.08
F: 0.8547 0.8547 0.2905  1 Ga 2.08
F: 0.0000 0.5000 0.0000  2 Ga 2.13
Ga: 0.0000 0.0000 0.0000  6 F 2.08-2.13
F: 0.5000 0.0000 0.0000  2 Ga 2.13
Tl: 0.6544 0.6544 0.6912  9 F 2.87-3.07

Values from the calculation:
* excess energy over the best structure of this formula in the dataset: 0 meV per atom
* space-group type: I4/mmm (139)

---

The following is a DFT calculation (PBE) of TlGa3F after structural relaxation.

Cell lengths 4.8077, 4.8077, 4.8077 Å; angles 90.00, 90.00, 90.00 degrees
With the nearest neighbours (Å) after each atom.
Fractional coordinates of all 5 atoms:
Ga: 0.0000 0.5000 0.0000  2 F 2.40
F: 0.0000 0.0000 0.0000  6 Ga 2.40
Tl: 0.5000 0.5000 0.5000  12 Ga 3.40
Ga: 0.5000 0.0000 0.0000  2 F 2.40
Ga: 0.0000 0.0000 0.5000  2 F 2.40

Values from the calculation:
* excess energy over the best structure of this formula in the dataset: 0 meV per atom
* space-group type: Pm-3m (221)

---

The following is a DFT calculation (PBE) of TlGaF3 after structural relaxation.

Cell lengths 5.6123, 6.2646, 6.2646 Å; angles 120.00, 90.00, 90.00 degrees
With the nearest neighbours (Å) after each atom.
Fractional coordinates of all 10 atoms:
F: 0.2500 0.1473 0.8527  2 Ga 2.13
F: 0.7500 0.2946 0.1473  2 Ga 2.13
F: 0.7500 0.8527 0.1473  2 Ga 2.13
Ga: 0.0000 0.0000 0.0000  6 F 2.13
F: 0.2500 0.1473 0.2946  2 Ga 2.13
Tl: 0.7500 0.3333 0.6667  12 F 3.14-3.46
F: 0.7500 0.8527 0.7054  2 Ga 2.13
Ga: 0.5000 0.0000 0.0000  6 F 2.13
F: 0.2500 0.7054 0.8527  2 Ga 2.13
Tl: 0.2500 0.6667 0.3333  12 F 3.14-3.46

Values from the calculation:
* space-group type: P6_3/mmc (194)

---

The following is a DFT calculation (PBE) of Tl3Ga2F9 after structural relaxation.

Cell lengths 6.1596, 6.1596, 15.5137 Å; angles 90.00, 90.00, 120.00 degrees
With the nearest neighbours (Å) after each atom.
Fractional coordinates of all 28 atoms:
F: 0.6337 0.8169 0.9017  1 Ga 1.85
Ga: 0.6667 0.3333 0.1583  6 F 1.85-2.03
Ga: 0.3333 0.6667 0.6583  6 F 1.85-2.03
Tl: 0.6667 0.3333 0.9300  9 F 3.06-3.12
F: 0.0609 0.5305 0.7500  2 Ga 2.03
F: 0.1831 0.3663 0.5983  1 Ga 1.85
F: 0.6337 0.8169 0.5983  1 Ga 1.85
Ga: 0.6667 0.3333 0.3417  6 F 1.85-2.03
F: 0.8169 0.1831 0.4017  1 Ga 1.85
F: 0.8169 0.6337 0.4017  1 Ga 1.85
Ga: 0.3333 0.6667 0.8417  6 F 1.85-2.03
F: 0.3663 0.1831 0.0983  1 Ga 1.85
F: 0.8169 0.6337 0.0983  1 Ga 1.85
F: 0.4695 0.9391 0.7500  2 Ga 2.03
F: 0.9391 0.4695 0.2500  2 Ga 2.03
Tl: 0.3333 0.6667 0.4300  9 F 3.06-3.12
Tl: 0.0000 0.0000 0.7500  12 F 3.06-3.10
Tl: 0.6667 0.3333 0.5700  9 F 3.06-3.12
Tl: 0.0000 0.0000 0.2500  12 F 3.06-3.10
F: 0.4695 0.5305 0.7500  2 Ga 2.03
F: 0.1831 0.3663 0.9017  1 Ga 1.85
F: 0.5305 0.4695 0.2500  2 Ga 2.03
Tl: 0.3333 0.6667 0.0700  9 F 3.06-3.12
F: 0.8169 0.1831 0.0983  1 Ga 1.85
F: 0.3663 0.1831 0.4017  1 Ga 1.85
F: 0.5305 0.0609 0.2500  2 Ga 2.03
F: 0.1831 0.8169 0.5983  1 Ga 1.85
F: 0.1831 0.8169 0.9017  1 Ga 1.85

Values from the calculation:
* space-group type: P6_3/mmc (194)

---

The following is a DFT calculation (PBE) of Tl6Ga3F14 after structural relaxation.

Cell lengths 5.9445, 9.9034, 9.9034 Å; angles 120.00, 90.00, 90.00 degrees
With the nearest neighbours (Å) after each atom.
Fractional coordinates of all 23 atoms:
Ga: 0.8109 0.0000 0.0000  4 F 1.89-1.90
F: 0.6193 0.4866 0.2719  1 Ga 1.96
Ga: 0.3712 0.3333 0.6667  4 F 1.80-1.81
F: 0.6193 0.7853 0.5134  1 Ga 1.96
Tl: 0.2794 0.2801 0.2251  6 F 2.74-3.02
F: 0.2446 0.6106 0.4600  1 Ga 1.92
F: 0.0688 0.3333 0.6667  1 Ga 1.80
F: 0.4780 0.2217 0.7516  1 Ga 1.81
Tl: 0.2794 0.7749 0.0550  6 F 2.74-3.02
F: 0.2446 0.5400 0.1506  1 Ga 1.92
Tl: 0.8293 0.4471 0.0112  4 F 2.71-2.79
F: 0.4910 0.0000 0.0000  1 Ga 1.90
Tl: 0.8293 0.9888 0.4359  4 F 2.71-2.79
F: 0.2446 0.8494 0.3894  1 Ga 1.92
F: 0.9422 0.1584 0.9727  1 Ga 1.89
Ga: 0.4231 0.6667 0.3333  6 F 1.92-1.96
F: 0.4780 0.5298 0.7783  1 Ga 1.81
Tl: 0.2794 0.9450 0.7199  6 F 2.74-3.02
Tl: 0.8293 0.5641 0.5529  4 F 2.71-2.79
F: 0.6193 0.7281 0.2147  1 Ga 1.96
F: 0.9422 0.8144 0.8416  1 Ga 1.89
F: 0.4780 0.2484 0.4702  1 Ga 1.81
F: 0.9422 0.0273 0.1856  1 Ga 1.89

Values from the calculation:
* space-group type: P3 (143)

---

The following is a DFT calculation (PBE) of TlGa2F after structural relaxation.

Cell lengths 4.8221, 4.8221, 4.8221 Å; angles 60.00, 60.00, 60.00 degrees
With the nearest neighbours (Å) after each atom.
Fractional coordinates of all 4 atoms:
Tl: 0.5000 0.5000 0.5000  8 Ga 2.95
Ga: 0.2500 0.2500 0.2500  4 F 2.95, 4 Tl 2.95
Ga: 0.7500 0.7500 0.7500  4 Tl 2.95, 4 F 2.95
F: 0.0000 0.0000 0.0000  8 Ga 2.95

Values from the calculation:
* excess energy over the best structure of this formula in the dataset: 132 meV per atom
* space-group type: Fm-3m (225)

---

Sequential formation energy (no corrections) output: -1899; -369; -1881; -2303; -2135; -439 meV per atom